Entry 1:
# Tl3TeRu (PBE, optimized geometry)
# - Formation energy from raw total energies: 0.262 eV per atom
# - Crystal system: cubic
data_Tl3TeRu
_chemical_formula_sum 'Tl3 Te1 Ru1'
_cell_length_a 5.3229
_cell_length_b 5.3229
_cell_length_c 5.3229
_cell_angle_alpha 90.00
_cell_angle_beta 90.00
_cell_angle_gamma 90.00
_space_group_name_H-M_alt 'P m -3 m'
_space_group_IT_number 221
_space_group_name_Hall '-P 4 2 3'
loop_
_atom_site_label
_atom_site_type_symbol
_atom_site_fract_x
_atom_site_fract_y
_atom_site_fract_z
Tl1 Tl 0.0000 0.0000 0.5000
Te1 Te 0.5000 0.5000 0.5000
Ru1 Ru 0.0000 0.0000 0.0000

=====

Entry 2:
# Pr3Dy2Er4 (PBE, optimized geometry)
# - Formation energy: 9.9 kJ/mol of atoms
# - Crystal system: monoclinic
data_Pr3Dy2Er4
_chemical_formula_sum 'Pr12 Dy8 Er16'
_cell_length_a 16.6604
_cell_length_b 11.7146
_cell_length_c 6.0526
_cell_angle_alpha 90.00
_cell_angle_beta 97.89
_cell_angle_gamma 90.00
_space_group_name_H-M_alt 'C 1 2/c 1'
_space_group_IT_number 15
loop_
_space_group_symop_operation_xyz
'x,y,z'
'-x,-y,-z'
'-x,y,-z+1/2'
'x,-y,z+1/2'
'x+1/2,y+1/2,z'
'-x+1/2,-y+1/2,-z'
'-x+1/2,y+1/2,-z+1/2'
'x+1/2,-y+1/2,z+1/2'
loop_
_atom_site_label
_atom_site_type_symbol
_atom_site_fract_x
_atom_site_fract_y
_atom_site_fract_z
Pr1 Pr 0.0000 0.1093 0.2500
Pr2 Pr 0.1663 0.3917 0.0844
Dy1 Dy 0.1171 0.1302 0.8107
Er1 Er 0.0505 0.3694 0.5225
Er2 Er 0.2180 0.1321 0.3541

=====

Entry 3:
# AcGd2Zn (PBE, optimized geometry)
# - Formation energy: 13.4 kJ/mol of atoms
# - Crystal system: cubic
data_AcGd2Zn
_chemical_formula_sum 'Ac4 Gd8 Zn4'
_cell_length_a 7.8574
_cell_length_b 7.8574
_cell_length_c 7.8574
_cell_angle_alpha 90.00
_cell_angle_beta 90.00
_cell_angle_gamma 90.00
_space_group_name_H-M_alt 'F m -3 m'
_space_group_IT_number 225
_space_group_name_Hall '-F 4 2 3'
loop_
_atom_site_label
_atom_site_type_symbol
_atom_site_fract_x
_atom_site_fract_y
_atom_site_fract_z
Ac1 Ac 0.0000 0.0000 0.0000
Gd1 Gd 0.2500 0.2500 0.2500
Zn1 Zn 0.0000 0.0000 0.5000

=====

Entry 4:
# In2AsCl (PBE, optimized geometry)
# - Formation energy from raw total energies: -0.133 eV per atom
# - Crystal system: tetragonal
data_In2AsCl
_chemical_formula_sum 'In4 As2 Cl2'
_cell_length_a 4.0528
_cell_length_b 4.0528
_cell_length_c 13.5447
_cell_angle_alpha 90.00
_cell_angle_beta 90.00
_cell_angle_gamma 90.00
_space_group_name_H-M_alt 'I -4 m 2'
_space_group_IT_number 119
_space_group_name_Hall 'I -4 -2'
loop_
_atom_site_label
_atom_site_type_symbol
_atom_site_fract_x
_atom_site_fract_y
_atom_site_fract_z
In1 In 0.0000 0.0000 0.0000
In2 In 0.0000 0.5000 0.2500
As1 As 0.0000 0.5000 0.7500
Cl1 Cl 0.0000 0.0000 0.5000

=====

Entry 5:
# CaAs4Se (PBE, optimized geometry)
# - Formation energy from raw total energies: -0.146 eV per atom
# - Crystal system: cubic
data_CaAs4Se
_chemical_formula_sum 'Ca4 As16 Se4'
_cell_length_a 8.2242
_cell_length_b 8.2242
_cell_length_c 8.2242
_cell_angle_alpha 90.00
_cell_angle_beta 90.00
_cell_angle_gamma 90.00
_space_group_name_H-M_alt 'F -4 3 m'
_space_group_IT_number 216
_space_group_name_Hall 'F -4 2 3'
loop_
_atom_site_label
_atom_site_type_symbol
_atom_site_fract_x
_atom_site_fract_y
_atom_site_fract_z
Ca1 Ca 0.0000 0.0000 0.0000
As1 As 0.1095 0.1095 0.3905
Se1 Se 0.2500 0.2500 0.7500

=====

Entry 6:
# Ho8NiIr2 (PBE, optimized geometry)
# - Formation energy: -36.9 kJ/mol of atoms
# - Crystal system: monoclinic
data_Ho8NiIr2
_chemical_formula_sum 'Ho16 Ni2 Ir4'
_cell_length_a 8.3741
_cell_length_b 12.2761
_cell_length_c 5.9490
_cell_angle_alpha 90.00
_cell_angle_beta 108.72
_cell_angle_gamma 90.00
_space_group_name_H-M_alt 'C 1 m 1'
_space_group_IT_number 8
loop_
_space_group_symop_operation_xyz
'x,y,z'
'x,-y,z'
'x+1/2,y+1/2,z'
'x+1/2,-y+1/2,z'
loop_
_atom_site_label
_atom_site_type_symbol
_atom_site_fract_x
_atom_site_fract_y
_atom_site_fract_z
Ho1 Ho 0.0000 0.0000 0.0000
Ho2 Ho 0.0698 0.3685 0.7884
Ho3 Ho 0.1541 0.1314 0.5756
Ho4 Ho 0.2165 0.5000 0.3765
Ho5 Ho 0.3561 0.2116 0.1904
Ni1 Ni 0.3569 0.0000 0.3682
Ir1 Ir 0.3635 0.3138 0.6870